DFT (SCAN) results for a PBEsol-optimized structure of Cr2SbSe.

V = 18.2 A^3/atom
Polymorph energy (0 for the lowest one) = 0.266 eV per atom
ΔE_f (raw) = 0.13 eV/atom
Final energy = -93.6 eV for the cell shown

a b c (Å): 3.022 3.022 9.385
angles (deg): 80.73 80.73 60.00
Last column: magnetic moment on the atom in μB.
Positions (direct):
Cr: 0.006 0.006 0.983  -2.42
Se: 0.280 0.280 0.161  0.30
Sb: 0.479 0.479 0.562  -0.09
Cr: 0.735 0.735 0.794  2.91

***

DFT (SCAN) results for a PBEsol-optimized structure of CrSi2Sb.

V = 15.7 A^3/atom
ΔE_f (raw) = 0.30 eV/atom
Final energy = -74.5 eV for the cell shown

a b c (Å): 3.032 3.032 6.839
angles (deg): 90.00 90.00 90.00
Last column: magnetic moment on the atom in μB.
Positions (direct):
Sb: 0.500 0.500 0.500  -0.03
Si: 0.000 0.000 0.820  -0.04
Cr: 0.500 0.500 0.000  1.44
Si: 0.000 0.000 0.180  -0.04

***

DFT (SCAN) results for a PBEsol-optimized structure of CrSiSb2.

V = 19.2 A^3/atom
ΔE_f (raw) = 0.17 eV/atom
Final energy = -102.2 eV for the cell shown

a b c (Å): 3.138 3.138 7.790
angles (deg): 90.00 90.00 90.00
Last column: magnetic moment on the atom in μB.
Positions (direct):
Sb: 0.000 0.000 0.923  -0.06
Cr: 0.500 0.500 0.688  0.98
Sb: 0.500 0.500 0.323  -0.03
Si: 0.000 0.000 0.566  -0.07